DFT (PBE-GGA) results for crystalline Li2Ta2SeS3 at its relaxed geometry.

The structure in CIF format:
```
data_Li2Ta2SeS3
_chemical_formula_sum 'Li2 Ta2 Se1 S3'
_cell_length_a 3.3827
_cell_length_b 3.3827
_cell_length_c 13.1358
_cell_angle_alpha 90.00
_cell_angle_beta 90.00
_cell_angle_gamma 120.00
_symmetry_space_group_name_H-M 'P 3 m 1'
_symmetry_Int_Tables_number 156
loop_
_symmetry_equiv_pos_as_xyz
'x,y,z'
'-y,x-y,z'
'-x+y,-x,z'
'-y,-x,z'
'-x+y,y,z'
'x,x-y,z'
loop_
_atom_site_label
_atom_site_fract_x
_atom_site_fract_y
_atom_site_fract_z
Li1 0.0000 0.0000 0.0000
Li2 0.0000 0.0000 0.4891
Ta1 0.0000 0.0000 0.2420
Ta2 0.0000 0.0000 0.7318
Se1 0.6667 0.3333 0.8625
S1 0.3333 0.6667 0.1225
S2 0.3333 0.6667 0.3611
S3 0.6667 0.3333 0.6130
```

Uncorrected energy: -6.63 eV/atom
Total magnetic moment: 0.001 μB/atom
V: 130.2 Å³/cell